## SiSbBr2 (GGA-PBE)

Data for SiSbBr2 after structural relaxation.

Its electronic total energy is -2.97 eV per atom. The energy relative to the elements, uncorrected is 0.2557 eV/atom. The calculation puts the relative energy among the computed polymorphs at 485 meV per atom.

It has space group Immm (No. 71), with a = 3.445 Å, b = 6.105 Å, c = 9.567 Å, α = 90.00°, β = 90.00° and γ = 90.00°. The distinct sites, in fractional coordinates, are Si at (0.000, 0.000, 0.000), Sb at (0.000, 0.000, 0.500) and Br at (0.000, 0.500, 0.274).